Record 1
Computed, not measured: crystalline CaPrBiPt at its relaxed geometry at the PBE level of DFT.

a = 5.348 Å, b = 5.348 Å, c = 5.348 Å
α = 60.00°, β = 60.00°, γ = 60.00°
Element x y z (fractional)
Pr (0.250, 0.250, 0.250)
Ca (0.750, 0.750, 0.750)
Bi (0.500, 0.500, 0.500)
Pt (0.000, 0.000, 0.000)

Summary:
E_tot in hartree per atom: -0.18291
Space-group type: F-43m


Record 2
Computed, not measured: crystalline Ca3PrBi2S at its relaxed geometry at the PBE level of DFT.

a = 5.415 Å, b = 5.217 Å, c = 9.110 Å
α = 106.64°, β = 107.29°, γ = 90.00°
Element x y z (fractional)
Ca (0.000, 0.500, 0.000)
Ca (0.172, 0.172, 0.345)
Ca (0.828, 0.828, 0.655)
Pr (0.500, 0.000, 0.000)
Bi (0.636, 0.636, 0.272)
Bi (0.364, 0.364, 0.728)
S (0.000, 0.000, 0.000)

Summary:
E_tot in hartree per atom: -0.15839
Space-group type: Immm
ΔE_f (raw) in eV per atom: -1.071


Record 3
Computed, not measured: crystalline CaPrSnBi at its relaxed geometry at the PBE level of DFT.

a = 5.593 Å, b = 5.593 Å, c = 5.593 Å
α = 60.00°, β = 60.00°, γ = 60.00°
Element x y z (fractional)
Pr (0.500, 0.500, 0.500)
Ca (0.000, 0.000, 0.000)
Bi (0.750, 0.750, 0.750)
Sn (0.250, 0.250, 0.250)

Summary:
E_tot in hartree per atom: -0.15654
Space-group type: F-43m


Record 4
Computed, not measured: crystalline CaTb2PrBi4 at its relaxed geometry at the PBE level of DFT.

a = 6.451 Å, b = 6.451 Å, c = 7.896 Å
α = 114.08°, β = 114.08°, γ = 90.07°
Element x y z (fractional)
Ca (0.438, 0.438, 0.000)
Tb (0.187, 0.687, 0.500)
Tb (0.687, 0.187, 0.500)
Pr (0.937, 0.937, 0.000)
Bi (0.938, 0.437, 0.000)
Bi (0.437, 0.938, 0.000)
Bi (0.187, 0.187, 0.500)
Bi (0.687, 0.687, 0.500)

Summary:
E_tot in hartree per atom: -0.17518
Space-group type: Fmm2